Material: MgCI2
Method: DFT, PBE
State: optimized geometry

The calculation puts the density of states at the Fermi level at 14.7 states/eV/cell. The raw formation energy is 1321 meV/atom. For the uncorrected energy, the calculation gives -2.1582 eV/atom.

Unit cell a=7.401 b=7.401 c=7.401 alpha=90.00 beta=90.00 gamma=90.00
Fractional positions:
Mg 0.000 0.000 0.000
Mg 0.000 0.500 0.500
Mg 0.500 0.000 0.500
Mg 0.500 0.500 0.000
C 0.000 0.000 0.500
C 0.000 0.500 0.000
C 0.500 0.000 0.000
C 0.500 0.500 0.500
I 0.250 0.250 0.250
I 0.250 0.250 0.750
I 0.250 0.750 0.250
I 0.250 0.750 0.750
I 0.750 0.250 0.250
I 0.750 0.250 0.750
I 0.750 0.750 0.250
I 0.750 0.750 0.750